# GGA-PBE ZrPt2Au, optimized geometry
# Crystal system ... orthorhombic
# Energy of formation ... -63.42 kJ per mole of atoms
# Magnetization ... 0.00 μB per cell
data_ZrPt2Au
_cell_length_a 5.783
_cell_length_b 6.479
_cell_length_c 3.749
_cell_angle_alpha 90.00
_cell_angle_beta 90.00
_cell_angle_gamma 90.00
_space_group_name_H-M_alt 'C m m m'
_space_group_IT_number 65
_space_group_name_Hall '-C 2 2'
loop_
_atom_site_label
_atom_site_fract_x
_atom_site_fract_y
_atom_site_fract_z
Zr1 0.000 0.000 0.000
Pt1 0.250 0.250 0.500
Au1 0.000 0.500 0.000